Entry from Alexandria via LeMat-Bulk: crystalline PaICl6 at its relaxed geometry (PBE).

a = 7.1734 Å, b = 7.5780 Å, c = 7.6312 Å
α = 61.87°, β = 64.20°, γ = 73.84°
Last column: nearest neighbours and their distance in Å.
Fractional coordinates of all 8 atoms:
Pa (0.0000, 0.0000, 0.0000)  6 Cl 2.51-2.73
I (0.5000, 0.5000, 0.0000)  2 Cl 2.58
Cl (0.1598, 0.3234, 0.7334)  1 Pa 2.51
Cl (0.1977, 0.9480, 0.2251)  1 Pa 2.51
Cl (0.3145, 0.8056, 0.7723)  1 I 2.58, 1 Pa 2.73
Cl (0.6855, 0.1944, 0.2277)  1 I 2.58, 1 Pa 2.73
Cl (0.8023, 0.0520, 0.7749)  1 Pa 2.51
Cl (0.8402, 0.6766, 0.2666)  1 Pa 2.51

Calculated values
Space group   P-1 (2)
Theoretical density   2.89 g/cm³
Size of the total moment   0.1 μB/cell
Formation energy without anion corrections   -1395 meV/atom